PBE MnInS, optimized geometry; E_form (uncorrected) = -23.9 kJ/mol of atoms; total energy = -16.78 eV per formula unit; volume = 54.2 Å³/f.u.; density of states at the Fermi level = 3.99 states/eV per cell
1.0
2.2627 -2.2628 0.0000
2.2627 2.2628 0.0000
-0.0322 0.0000 10.5839
Mn In S
2 2 2
Cartesian
1.1302 0.0000 0.7879
3.3630 0.0000 9.7960
1.1170 0.0000 4.0360
3.3761 0.0000 6.5479
1.1011 0.0000 9.0494
3.3920 0.0000 1.5345

PBE Mn2In2S5, optimized geometry; E_form (uncorrected) = -41.4 kJ/mol of atoms; total energy = -48.31 eV per formula unit; volume = 225.5 Å³/f.u.; density of states at the Fermi level = 0.74 states/eV per cell
1.0
9.2649 -1.9285 0.0000
9.2649 1.9285 0.0000
-1.8441 0.0000 6.3110
Mn In S
2 2 5
Cartesian
0.8995 0.0000 1.7327
15.7861 0.0000 4.5783
6.5892 0.0000 0.7259
10.0964 0.0000 5.5851
3.1753 0.0000 0.7453
6.4515 0.0000 3.1255
9.2649 0.0000 0.0000
10.2342 0.0000 3.1855
13.5103 0.0000 5.5657